# MgSi2 PBE-GGA relaxed
# raw formation energy = 115.7 meV/atom
# total energy = -0.1481 hartree per atom
# offset from the most stable computed form = 92 meV per atom
data_MgSi2
_chemical_formula_sum 'Mg4 Si8'
_cell_length_a 3.729
_cell_length_b 5.299
_cell_length_c 12.747
_cell_angle_alpha 78.27
_cell_angle_beta 84.08
_cell_angle_gamma 70.27
_space_group_name_H-M_alt 'P -1'
_space_group_IT_number 2
_space_group_name_Hall '-P 1'
loop_
_atom_site_label
_atom_site_fract_x
_atom_site_fract_y
_atom_site_fract_z
Mg1 0.096 0.206 0.098
Mg2 0.348 0.037 0.686
Si1 0.018 0.768 0.527
Si2 0.190 0.235 0.883
Si3 0.387 0.496 0.394
Si4 0.392 0.528 0.206



# MgSi2 PBE-GGA relaxed
# raw formation energy = 123.6 meV/atom
# total energy = -0.1479 hartree per atom
# offset from the most stable computed form = 100 meV per atom
data_MgSi2
_chemical_formula_sum 'Mg4 Si8'
_cell_length_a 7.035
_cell_length_b 3.691
_cell_length_c 9.301
_cell_angle_alpha 90.00
_cell_angle_beta 110.81
_cell_angle_gamma 90.00
_space_group_name_H-M_alt 'P 1 m 1'
_space_group_IT_number 6
_space_group_name_Hall 'P -2y'
loop_
_atom_site_label
_atom_site_fract_x
_atom_site_fract_y
_atom_site_fract_z
Mg1 0.000 0.000 0.000
Mg2 0.106 0.500 0.427
Mg3 0.292 0.500 0.901
Mg4 0.520 0.000 0.433
Si1 0.032 0.000 0.708
Si2 0.283 0.500 0.203
Si3 0.359 0.000 0.664
Si4 0.458 0.000 0.133
Si5 0.594 0.500 0.766
Si6 0.714 0.500 0.048
Si7 0.811 0.500 0.609
Si8 0.821 0.000 0.227



# MgSi2 PBE-GGA relaxed
# raw formation energy = 108.3 meV/atom
# total energy = -0.1484 hartree per atom
# offset from the most stable computed form = 85 meV per atom
data_MgSi2
_chemical_formula_sum 'Mg8 Si16'
_cell_length_a 10.333
_cell_length_b 3.943
_cell_length_c 11.790
_cell_angle_alpha 90.00
_cell_angle_beta 113.44
_cell_angle_gamma 90.00
_space_group_name_H-M_alt 'C 1 2/m 1'
_space_group_IT_number 12
_space_group_name_Hall '-C 2y'
loop_
_atom_site_label
_atom_site_fract_x
_atom_site_fract_y
_atom_site_fract_z
Mg1 0.000 0.000 0.000
Mg2 0.000 0.500 0.500
Mg3 0.060 0.000 0.762
Si1 0.133 0.500 0.168
Si2 0.172 0.500 0.973
Si3 0.188 0.000 0.447
Si4 0.243 0.500 0.726



# MgSi2 PBE-GGA relaxed
# raw formation energy = 184.2 meV/atom
# total energy = -0.1456 hartree per atom
# offset from the most stable computed form = 160 meV per atom
data_MgSi2
_chemical_formula_sum 'Mg4 Si8'
_cell_length_a 2.796
_cell_length_b 9.038
_cell_length_c 7.825
_cell_angle_alpha 90.00
_cell_angle_beta 90.00
_cell_angle_gamma 90.00
_space_group_name_H-M_alt 'P m m 2'
_space_group_IT_number 25
_space_group_name_Hall 'P 2 -2'
loop_
_atom_site_label
_atom_site_fract_x
_atom_site_fract_y
_atom_site_fract_z
Mg1 0.000 0.000 0.000
Mg2 0.000 0.236 0.486
Mg3 0.000 0.500 0.721
Si1 0.500 0.000 0.324
Si2 0.500 0.000 0.662
Si3 0.500 0.238 0.823
Si4 0.500 0.257 0.164
Si5 0.500 0.500 0.030
Si6 0.500 0.500 0.392



# Mg5Si9 PBE-GGA relaxed
# raw formation energy = 143.0 meV/atom
# total energy = -0.1438 hartree per atom
# offset from the most stable computed form = 45 meV per atom
data_Mg5Si9
_chemical_formula_sum 'Mg10 Si18'
_cell_length_a 7.529
_cell_length_b 7.557
_cell_length_c 10.292
_cell_angle_alpha 91.45
_cell_angle_beta 100.81
_cell_angle_gamma 118.11
_space_group_name_H-M_alt 'P 1'
_space_group_IT_number 1
_space_group_name_Hall 'P 1'
loop_
_atom_site_label
_atom_site_fract_x
_atom_site_fract_y
_atom_site_fract_z
Mg1 0.000 0.000 0.000
Mg2 0.010 0.832 0.548
Mg3 0.033 0.673 0.848
Mg4 0.140 0.700 0.181
Mg5 0.341 0.323 0.230
Mg6 0.537 0.726 0.420
Mg7 0.564 0.741 0.129
Mg8 0.701 0.794 0.710
Mg9 0.742 0.379 0.565
Mg10 0.859 0.227 0.161
Si1 0.049 0.200 0.671
Si2 0.115 0.476 0.399
Si3 0.150 0.430 0.998
Si4 0.181 0.587 0.638
Si5 0.304 0.112 0.788
Si6 0.333 0.069 0.429
Si7 0.362 0.380 0.539
Si8 0.385 0.593 0.853
Si9 0.410 0.084 0.037
Si10 0.431 0.961 0.640
Si11 0.542 0.035 0.291
Si12 0.595 0.958 0.924
Si13 0.605 0.446 0.824
Si14 0.679 0.442 0.065
Si15 0.771 0.581 0.302
Si16 0.829 0.224 0.813
Si17 0.888 0.132 0.431
Si18 0.986 0.947 0.285



# MgSi2 PBE-GGA relaxed
# raw formation energy = 106.9 meV/atom
# total energy = -0.1485 hartree per atom
# offset from the most stable computed form = 83 meV per atom
data_MgSi2
_chemical_formula_sum 'Mg4 Si8'
_cell_length_a 6.773
_cell_length_b 3.730
_cell_length_c 9.767
_cell_angle_alpha 90.00
_cell_angle_beta 103.27
_cell_angle_gamma 90.00
_space_group_name_H-M_alt 'P 1 2/m 1'
_space_group_IT_number 10
_space_group_name_Hall '-P 2y'
loop_
_atom_site_label
_atom_site_fract_x
_atom_site_fract_y
_atom_site_fract_z
Mg1 0.118 0.000 0.384
Mg2 0.328 0.500 0.176
Si1 0.106 0.500 0.813
Si2 0.159 0.000 0.964
Si3 0.259 0.500 0.618
Si4 0.479 0.000 0.619



# MgSi2 PBE-GGA relaxed
# raw formation energy = 167.4 meV/atom
# total energy = -0.1462 hartree per atom
# offset from the most stable computed form = 144 meV per atom
data_MgSi2
_chemical_formula_sum 'Mg4 Si8'
_cell_length_a 3.926
_cell_length_b 4.551
_cell_length_c 13.298
_cell_angle_alpha 85.77
_cell_angle_beta 85.35
_cell_angle_gamma 66.14
_space_group_name_H-M_alt 'P 1'
_space_group_IT_number 1
_space_group_name_Hall 'P 1'
loop_
_atom_site_label
_atom_site_fract_x
_atom_site_fract_y
_atom_site_fract_z
Mg1 0.000 0.000 0.000
Mg2 0.129 0.874 0.756
Mg3 0.345 0.203 0.174
Mg4 0.685 0.411 0.347
Si1 0.002 0.807 0.457
Si2 0.015 0.795 0.274
Si3 0.310 0.166 0.499
Si4 0.412 0.249 0.850
Si5 0.476 0.276 0.663
Si6 0.668 0.608 0.074
Si7 0.723 0.614 0.890
Si8 0.812 0.632 0.621



# MgSi2 PBE-GGA relaxed
# raw formation energy = 189.8 meV/atom
# total energy = -0.1454 hartree per atom
# offset from the most stable computed form = 166 meV per atom
data_MgSi2
_chemical_formula_sum 'Mg2 Si4'
_cell_length_a 9.899
_cell_length_b 3.166
_cell_length_c 3.435
_cell_angle_alpha 90.00
_cell_angle_beta 107.30
_cell_angle_gamma 90.00
_space_group_name_H-M_alt 'C 1 2/m 1'
_space_group_IT_number 12
_space_group_name_Hall '-C 2y'
loop_
_atom_site_label
_atom_site_fract_x
_atom_site_fract_y
_atom_site_fract_z
Mg1 0.000 0.000 0.000
Si1 0.197 0.500 0.702



# Mg6Si5 PBE-GGA relaxed
# raw formation energy = 65.9 meV/atom
# total energy = -0.1201 hartree per atom
# offset from the most stable computed form = 70 meV per atom
data_Mg6Si5
_chemical_formula_sum 'Mg12 Si10'
_cell_length_a 6.898
_cell_length_b 3.970
_cell_length_c 15.404
_cell_angle_alpha 90.00
_cell_angle_beta 94.63
_cell_angle_gamma 90.00
_space_group_name_H-M_alt 'P 1 m 1'
_space_group_IT_number 6
_space_group_name_Hall 'P -2y'
loop_
_atom_site_label
_atom_site_fract_x
_atom_site_fract_y
_atom_site_fract_z
Mg1 0.000 0.000 0.000
Mg2 0.005 0.000 0.605
Mg3 0.196 0.000 0.208
Mg4 0.241 0.500 0.514
Mg5 0.288 0.500 0.724
Mg6 0.513 0.000 0.605
Mg7 0.539 0.000 0.060
Mg8 0.617 0.000 0.836
Mg9 0.710 0.000 0.287
Mg10 0.739 0.500 0.473
Mg11 0.767 0.500 0.697
Mg12 0.869 0.500 0.143
Si1 0.015 0.500 0.321
Si2 0.027 0.000 0.422
Si3 0.196 0.000 0.850
Si4 0.241 0.500 0.075
Si5 0.367 0.500 0.928
Si6 0.375 0.500 0.329
Si7 0.429 0.000 0.422
Si8 0.499 0.500 0.188
Si9 0.719 0.500 0.969
Si10 0.945 0.500 0.857



# MgSi2 PBE-GGA relaxed
# raw formation energy = 111.7 meV/atom
# total energy = -0.1483 hartree per atom
# offset from the most stable computed form = 88 meV per atom
data_MgSi2
_chemical_formula_sum 'Mg8 Si16'
_cell_length_a 7.141
_cell_length_b 5.979
_cell_length_c 10.109
_cell_angle_alpha 90.00
_cell_angle_beta 99.28
_cell_angle_gamma 90.00
_space_group_name_H-M_alt 'P 1 m 1'
_space_group_IT_number 6
_space_group_name_Hall 'P -2y'
loop_
_atom_site_label
_atom_site_fract_x
_atom_site_fract_y
_atom_site_fract_z
Mg1 0.000 0.000 0.000
Mg2 0.020 0.500 0.492
Mg3 0.351 0.000 0.774
Mg4 0.410 0.500 0.711
Mg5 0.537 0.500 0.268
Mg6 0.633 0.000 0.317
Mg7 0.909 0.500 0.985
Mg8 0.975 0.000 0.556
Si1 0.055 0.299 0.775
Si2 0.233 0.201 0.227
Si3 0.304 0.301 0.001
Si4 0.324 0.202 0.482
Si5 0.640 0.200 0.040
Si6 0.660 0.297 0.540
Si7 0.717 0.202 0.786
Si8 0.900 0.295 0.231



# MgSi2 PBE-GGA relaxed
# raw formation energy = 113.9 meV/atom
# total energy = -0.1482 hartree per atom
# offset from the most stable computed form = 90 meV per atom
data_MgSi2
_chemical_formula_sum 'Mg4 Si8'
_cell_length_a 7.235
_cell_length_b 3.754
_cell_length_c 9.629
_cell_angle_alpha 90.00
_cell_angle_beta 105.74
_cell_angle_gamma 90.00
_space_group_name_H-M_alt 'P 1 2/m 1'
_space_group_IT_number 10
_space_group_name_Hall '-P 2y'
loop_
_atom_site_label
_atom_site_fract_x
_atom_site_fract_y
_atom_site_fract_z
Mg1 0.079 0.000 0.369
Mg2 0.246 0.500 0.854
Si1 0.169 0.000 0.056
Si2 0.209 0.500 0.211
Si3 0.296 0.000 0.644
Si4 0.480 0.500 0.621



# MgSi2 PBE-GGA relaxed
# raw formation energy = 172.0 meV/atom
# total energy = -0.1461 hartree per atom
# offset from the most stable computed form = 148 meV per atom
data_MgSi2
_chemical_formula_sum 'Mg4 Si8'
_cell_length_a 7.756
_cell_length_b 2.825
_cell_length_c 9.271
_cell_angle_alpha 90.00
_cell_angle_beta 104.89
_cell_angle_gamma 90.00
_space_group_name_H-M_alt 'P 1 2/m 1'
_space_group_IT_number 10
_space_group_name_Hall '-P 2y'
loop_
_atom_site_label
_atom_site_fract_x
_atom_site_fract_y
_atom_site_fract_z
Mg1 0.148 0.000 0.141
Mg2 0.288 0.000 0.634
Si1 0.048 0.500 0.381
Si2 0.189 0.500 0.879
Si3 0.379 0.500 0.383
Si4 0.466 0.500 0.124



# Mg5Si9 PBE-GGA relaxed
# raw formation energy = 147.6 meV/atom
# total energy = -0.1436 hartree per atom
# offset from the most stable computed form = 50 meV per atom
data_Mg5Si9
_chemical_formula_sum 'Mg10 Si18'
_cell_length_a 6.479
_cell_length_b 6.828
_cell_length_c 13.347
_cell_angle_alpha 104.52
_cell_angle_beta 92.34
_cell_angle_gamma 111.46
_space_group_name_H-M_alt 'P 1'
_space_group_IT_number 1
_space_group_name_Hall 'P 1'
loop_
_atom_site_label
_atom_site_fract_x
_atom_site_fract_y
_atom_site_fract_z
Mg1 0.000 0.000 0.000
Mg2 0.022 0.008 0.514
Mg3 0.079 0.413 0.439
Mg4 0.212 0.747 0.820
Mg5 0.258 0.230 0.770
Mg6 0.312 0.831 0.152
Mg7 0.361 0.390 0.186
Mg8 0.407 0.886 0.602
Mg9 0.609 0.505 0.492
Mg10 0.837 0.357 0.668
Si1 0.005 0.419 0.068
Si2 0.254 0.797 0.388
Si3 0.294 0.130 0.344
Si4 0.304 0.466 0.631
Si5 0.420 0.169 0.962
Si6 0.500 0.566 0.010
Si7 0.616 0.096 0.810
Si8 0.621 0.835 0.313
Si9 0.633 0.730 0.751
Si10 0.669 0.117 0.079
Si11 0.670 0.117 0.469
Si12 0.675 0.195 0.269
Si13 0.749 0.606 0.885
Si14 0.819 0.654 0.143
Si15 0.830 0.601 0.315
Si16 0.951 0.787 0.660
Si17 0.971 0.384 0.885
Si18 0.983 0.048 0.214



# MgSi2 PBE-GGA relaxed
# raw formation energy = 111.0 meV/atom
# total energy = -0.1483 hartree per atom
# offset from the most stable computed form = 87 meV per atom
data_MgSi2
_chemical_formula_sum 'Mg4 Si8'
_cell_length_a 3.657
_cell_length_b 5.999
_cell_length_c 10.677
_cell_angle_alpha 80.57
_cell_angle_beta 81.46
_cell_angle_gamma 73.20
_space_group_name_H-M_alt 'P 1'
_space_group_IT_number 1
_space_group_name_Hall 'P 1'
loop_
_atom_site_label
_atom_site_fract_x
_atom_site_fract_y
_atom_site_fract_z
Mg1 0.000 0.000 0.000
Mg2 0.051 0.934 0.493
Mg3 0.300 0.264 0.221
Mg4 0.633 0.563 0.679
Si1 0.307 0.173 0.740
Si2 0.347 0.318 0.503
Si3 0.348 0.361 0.928
Si4 0.617 0.656 0.169
Si5 0.731 0.626 0.939
Si6 0.773 0.562 0.421
Si7 0.912 0.898 0.757
Si8 0.992 0.863 0.254



# Mg5Si9 PBE-GGA relaxed
# raw formation energy = 101.7 meV/atom
# total energy = -0.1453 hartree per atom
# offset from the most stable computed form = 4 meV per atom
data_Mg5Si9
_chemical_formula_sum 'Mg10 Si18'
_cell_length_a 6.783
_cell_length_b 7.237
_cell_length_c 12.493
_cell_angle_alpha 89.53
_cell_angle_beta 84.66
_cell_angle_gamma 63.00
_space_group_name_H-M_alt 'P 1'
_space_group_IT_number 1
_space_group_name_Hall 'P 1'
loop_
_atom_site_label
_atom_site_fract_x
_atom_site_fract_y
_atom_site_fract_z
Mg1 0.000 0.000 0.000
Mg2 0.006 0.403 0.938
Mg3 0.035 0.745 0.775
Mg4 0.244 0.951 0.244
Mg5 0.268 0.098 0.481
Mg6 0.453 0.777 0.814
Mg7 0.596 0.235 0.859
Mg8 0.610 0.272 0.482
Mg9 0.800 0.370 0.260
Mg10 0.859 0.452 0.636
Si1 0.012 0.647 0.160
Si2 0.070 0.125 0.772
Si3 0.092 0.518 0.462
Si4 0.186 0.377 0.284
Si5 0.257 0.584 0.994
Si6 0.265 0.698 0.539
Si7 0.376 0.185 0.695
Si8 0.382 0.050 0.048
Si9 0.435 0.487 0.683
Si10 0.494 0.694 0.383
Si11 0.525 0.192 0.178
Si12 0.624 0.400 0.054
Si13 0.662 0.699 0.105
Si14 0.699 0.890 0.622
Si15 0.716 0.838 0.936
Si16 0.746 0.815 0.430
Si17 0.832 0.972 0.274
Si18 0.959 0.030 0.607



# MgSi2 PBE-GGA relaxed
# raw formation energy = 118.2 meV/atom
# total energy = -0.1481 hartree per atom
# offset from the most stable computed form = 94 meV per atom
data_MgSi2
_chemical_formula_sum 'Mg4 Si8'
_cell_length_a 3.695
_cell_length_b 7.187
_cell_length_c 8.779
_cell_angle_alpha 101.59
_cell_angle_beta 90.58
_cell_angle_gamma 92.57
_space_group_name_H-M_alt 'P 1'
_space_group_IT_number 1
_space_group_name_Hall 'P 1'
loop_
_atom_site_label
_atom_site_fract_x
_atom_site_fract_y
_atom_site_fract_z
Mg1 0.000 0.000 0.000
Mg2 0.044 0.740 0.650
Mg3 0.501 0.358 0.087
Mg4 0.577 0.044 0.549
Si1 0.018 0.630 0.045
Si2 0.032 0.194 0.308
Si3 0.047 0.843 0.290
Si4 0.106 0.204 0.780
Si5 0.517 0.698 0.888
Si6 0.537 0.696 0.394
Si7 0.554 0.377 0.439
Si8 0.622 0.395 0.722



# MgSi2 PBE-GGA relaxed
# raw formation energy = 199.8 meV/atom
# total energy = -0.1451 hartree per atom
# offset from the most stable computed form = 176 meV per atom
data_MgSi2
_chemical_formula_sum 'Mg4 Si8'
_cell_length_a 3.442
_cell_length_b 5.109
_cell_length_c 12.511
_cell_angle_alpha 79.70
_cell_angle_beta 82.31
_cell_angle_gamma 71.36
_space_group_name_H-M_alt 'P 1'
_space_group_IT_number 1
_space_group_name_Hall 'P 1'
loop_
_atom_site_label
_atom_site_fract_x
_atom_site_fract_y
_atom_site_fract_z
Mg1 0.000 0.000 0.000
Mg2 0.018 0.732 0.231
Mg3 0.308 0.701 0.675
Mg4 0.948 0.603 0.476
Si1 0.006 0.229 0.763
Si2 0.237 0.057 0.465
Si3 0.314 0.203 0.176
Si4 0.318 0.453 0.897
Si5 0.608 0.173 0.608
Si6 0.652 0.854 0.839
Si7 0.707 0.259 0.325
Si8 0.708 0.524 0.050